[1]
Computed, not measured: an optimized crystal structure of MgNbRePb at the PBE level of DFT.

## Properties
total magnetic moment = 0.597 μB/f.u.
energy above the lowest structure with this stoichiometry = 393 meV per atom
energy = -6.178 eV/atom

The structure in CIF format:
```
data_MgNbRePb
_space_group_name_H-M_alt 'F -4 3 m'
_space_group_IT_number 216
_space_group_name_Hall 'F -4 2 3'
_cell_length_a 6.666
_cell_length_b 6.666
_cell_length_c 6.666
_cell_angle_alpha 90.00
_cell_angle_beta 90.00
_cell_angle_gamma 90.00
loop_
_atom_site_label
_atom_site_type_symbol
_atom_site_fract_x
_atom_site_fract_y
_atom_site_fract_z
Mg1 Mg 0.000 0.000 0.000
Nb1 Nb 0.250 0.250 0.250
Re1 Re 0.250 0.250 0.750
Pb1 Pb 0.000 0.000 0.500
```

=====

[2]
Computed, not measured: an optimized crystal structure of AgHgPd2 at the PBE level of DFT.

## Properties
energy above the lowest structure with this stoichiometry = 0 meV per atom
E_form = -0.147 eV/atom
energy = -3.515 eV/atom

The structure in CIF format:
```
data_AgHgPd2
_space_group_name_H-M_alt 'F m -3 m'
_space_group_IT_number 225
_space_group_name_Hall '-F 4 2 3'
_cell_length_a 6.494
_cell_length_b 6.494
_cell_length_c 6.494
_cell_angle_alpha 90.00
_cell_angle_beta 90.00
_cell_angle_gamma 90.00
loop_
_atom_site_label
_atom_site_type_symbol
_atom_site_fract_x
_atom_site_fract_y
_atom_site_fract_z
Ag1 Ag 0.000 0.000 0.000
Hg1 Hg 0.000 0.000 0.500
Pd1 Pd 0.250 0.250 0.250
```